# TaGaTeI2 | Alexandria via LeMat-Bulk | PBEsol | optimized geometry
# Uncorrected formation energy, meV/atom: 241.8
# Calculated volume, Å³/cell: 163.19
# Fermi-level density of states, states/eV per cell: 3.298
# M_tot, μB per cell: 0.002
# Space-group type: P4/mmm (123)
data_TaGaTeI2
_chemical_formula_sum 'Ta1 Ga1 Te1 I2'
_cell_length_a 5.522
_cell_length_b 5.522
_cell_length_c 5.352
_cell_angle_alpha 90.00
_cell_angle_beta 90.00
_cell_angle_gamma 90.00
_space_group_name_H-M_alt 'P 1'
_space_group_IT_number 1
_space_group_name_Hall 'P 1'
loop_
_atom_site_label
_atom_site_type_symbol
_atom_site_fract_x
_atom_site_fract_y
_atom_site_fract_z
Ta1 Ta 0.000 0.000 0.000
Ga1 Ga 0.500 0.500 0.500
Te1 Te 0.000 0.000 0.500
I1 I 0.000 0.500 0.000
I2 I 0.500 0.000 0.000